A relaxed structure of Pr2CdAu, computed with PBE.

Output
Excess energy over the best structure of this formula in the dataset, eV per atom: 0.000
Raw total energy, eV per atom: -3.967

a b c (Å): 3.817 3.817 7.597
angles (deg): 90.00 90.00 90.00
Element x y z (fractional)
Pr: 0.000 0.000 0.237
Pr: 0.000 0.000 0.763
Cd: 0.500 0.500 0.500
Au: 0.500 0.500 0.000


A relaxed structure of Pr4CdAu2, computed with PBE.

Output
Raw total energy, eV per atom: -4.170

a b c (Å): 9.949 9.949 9.949
angles (deg): 30.12 30.12 30.12
Element x y z (fractional)
Pr: 0.120 0.120 0.120
Pr: 0.292 0.292 0.292
Pr: 0.708 0.708 0.708
Pr: 0.880 0.880 0.880
Cd: 0.500 0.500 0.500
Au: 0.399 0.399 0.399
Au: 0.601 0.601 0.601


A relaxed structure of Pr3Cd2Au3, computed with PBE.

Output
Excess energy over the best structure of this formula in the dataset, eV per atom: 0.000
Raw total energy, eV per atom: -3.864

a b c (Å): 8.974 8.974 6.064
angles (deg): 90.00 90.00 120.00
Element x y z (fractional)
Pr: 0.000 0.288 0.250
Pr: 0.000 0.712 0.750
Pr: 0.288 0.000 0.250
Pr: 0.288 0.288 0.750
Pr: 0.712 0.000 0.750
Pr: 0.712 0.712 0.250
Cd: 0.333 0.667 0.000
Cd: 0.333 0.667 0.500
Cd: 0.667 0.333 0.000
Cd: 0.667 0.333 0.500
Au: 0.000 0.375 0.750
Au: 0.000 0.625 0.250
Au: 0.375 0.000 0.750
Au: 0.375 0.375 0.250
Au: 0.625 0.000 0.250
Au: 0.625 0.625 0.750


A relaxed structure of PrCd2Au4, computed with PBE.

Output
Raw total energy, eV per atom: -3.317

a b c (Å): 7.266 7.266 5.601
angles (deg): 90.00 90.00 90.00
Element x y z (fractional)
Pr: 0.000 0.000 0.000
Pr: 0.500 0.500 0.500
Cd: 0.000 0.500 0.250
Cd: 0.000 0.500 0.750
Cd: 0.500 0.000 0.250
Cd: 0.500 0.000 0.750
Au: 0.195 0.195 0.500
Au: 0.195 0.805 0.500
Au: 0.305 0.305 0.000
Au: 0.305 0.695 0.000
Au: 0.695 0.305 0.000
Au: 0.695 0.695 0.000
Au: 0.805 0.195 0.500
Au: 0.805 0.805 0.500


A relaxed structure of PrCd11Au, computed with PBE.

Output
Raw total energy, eV per atom: -1.552

a b c (Å): 7.656 7.656 7.647
angles (deg): 98.57 98.57 134.58
Element x y z (fractional)
Pr: 0.000 0.000 0.000
Cd: 0.000 0.000 0.500
Cd: 0.000 0.500 0.000
Cd: 0.009 0.357 0.354
Cd: 0.291 0.503 0.784
Cd: 0.357 0.009 0.354
Cd: 0.497 0.709 0.216
Cd: 0.500 0.000 0.000
Cd: 0.503 0.291 0.784
Cd: 0.643 0.991 0.646
Cd: 0.709 0.497 0.216
Cd: 0.991 0.643 0.646
Au: 0.500 0.500 0.500


A relaxed structure of Pr4CdAu5, computed with PBE.

Output
Raw total energy, eV per atom: -4.300

a b c (Å): 3.704 3.704 18.251
angles (deg): 90.00 90.00 90.00
Element x y z (fractional)
Pr: 0.000 0.000 0.104
Pr: 0.000 0.000 0.315
Pr: 0.000 0.000 0.685
Pr: 0.000 0.000 0.896
Cd: 0.000 0.000 0.500
Au: 0.500 0.500 0.000
Au: 0.500 0.500 0.206
Au: 0.500 0.500 0.412
Au: 0.500 0.500 0.588
Au: 0.500 0.500 0.794


A relaxed structure of Pr3Cd2Au2, computed with PBE.

Output
Raw total energy, eV per atom: -3.675

a b c (Å): 5.164 5.175 9.619
angles (deg): 75.29 75.16 60.58
Element x y z (fractional)
Pr: 0.000 0.000 0.000
Pr: 0.218 0.217 0.349
Pr: 0.782 0.783 0.651
Cd: 0.392 0.393 0.827
Cd: 0.608 0.607 0.173
Au: 0.108 0.110 0.678
Au: 0.892 0.890 0.322


A relaxed structure of Pr8Cd2Au, computed with PBE.

Output
Raw total energy, eV per atom: -4.149

a b c (Å): 9.837 9.837 7.110
angles (deg): 102.93 102.93 31.87
Element x y z (fractional)
Pr: 0.019 0.019 0.269
Pr: 0.202 0.202 0.799
Pr: 0.342 0.342 0.536
Pr: 0.408 0.408 0.048
Pr: 0.592 0.592 0.952
Pr: 0.658 0.658 0.464
Pr: 0.798 0.798 0.201
Pr: 0.981 0.981 0.731
Cd: 0.187 0.187 0.232
Cd: 0.813 0.813 0.768
Au: 0.500 0.500 0.500


A relaxed structure of PrCdAu, computed with PBE.

Output
Raw total energy, eV per atom: -3.564

a b c (Å): 4.901 4.901 3.582
angles (deg): 90.00 90.00 120.00
Element x y z (fractional)
Pr: 0.000 0.000 0.000
Cd: 0.667 0.333 0.500
Au: 0.333 0.667 0.500


A relaxed structure of PrCd2Au2, computed with PBE.

Output
Excess energy over the best structure of this formula in the dataset, eV per atom: 0.056
Raw total energy, eV per atom: -3.055

a b c (Å): 4.658 3.964 12.811
angles (deg): 90.00 90.04 90.00
Element x y z (fractional)
Pr: 0.249 0.250 0.255
Pr: 0.751 0.750 0.745
Cd: 0.250 0.750 0.486
Cd: 0.251 0.250 0.864
Cd: 0.749 0.750 0.136
Cd: 0.750 0.250 0.514
Au: 0.249 0.750 0.026
Au: 0.250 0.250 0.650
Au: 0.750 0.750 0.350
Au: 0.751 0.250 0.974


A relaxed structure of Pr4Cd5Au6, computed with PBE.

Output
Raw total energy, eV per atom: -3.423

a b c (Å): 11.733 11.733 15.474
angles (deg): 90.00 90.00 159.65
Element x y z (fractional)
Pr: 0.027 0.973 0.500
Pr: 0.054 0.946 0.772
Pr: 0.134 0.866 0.275
Pr: 0.181 0.819 0.938
Pr: 0.819 0.181 0.438
Pr: 0.866 0.134 0.775
Pr: 0.946 0.054 0.272
Pr: 0.973 0.027 0.000
Cd: 0.180 0.820 0.610
Cd: 0.311 0.689 0.610
Cd: 0.322 0.678 0.264
Cd: 0.357 0.643 0.955
Cd: 0.466 0.534 0.658
Cd: 0.534 0.466 0.158
Cd: 0.643 0.357 0.455
Cd: 0.678 0.322 0.764
Cd: 0.689 0.311 0.110
Cd: 0.820 0.180 0.110
Au: 0.098 0.902 0.082
Au: 0.225 0.775 0.434
Au: 0.266 0.734 0.782
Au: 0.410 0.590 0.125
Au: 0.423 0.577 0.426
Au: 0.460 0.540 0.845
Au: 0.540 0.460 0.345
Au: 0.577 0.423 0.926
Au: 0.590 0.410 0.625
Au: 0.734 0.266 0.282
Au: 0.775 0.225 0.934
Au: 0.902 0.098 0.582


A relaxed structure of PrCd6Au12, computed with PBE.

Output
Raw total energy, eV per atom: -2.775

a b c (Å): 7.744 7.744 7.744
angles (deg): 104.36 104.36 104.36
Element x y z (fractional)
Pr: 0.000 0.000 0.000
Cd: 0.297 0.297 0.692
Cd: 0.297 0.692 0.297
Cd: 0.308 0.703 0.703
Cd: 0.692 0.297 0.297
Cd: 0.703 0.308 0.703
Cd: 0.703 0.703 0.308
Au: 0.101 0.348 0.348
Au: 0.112 0.500 0.888
Au: 0.112 0.888 0.500
Au: 0.348 0.101 0.348
Au: 0.348 0.348 0.101
Au: 0.500 0.112 0.888
Au: 0.500 0.888 0.112
Au: 0.652 0.652 0.899
Au: 0.652 0.899 0.652
Au: 0.888 0.112 0.500
Au: 0.888 0.500 0.112
Au: 0.899 0.652 0.652


A relaxed structure of PrCdAu, computed with PBE.

Output
Raw total energy, eV per atom: -3.508

a b c (Å): 4.880 5.311 6.397
angles (deg): 90.00 112.23 90.00
Element x y z (fractional)
Pr: 0.074 0.250 0.226
Pr: 0.926 0.750 0.774
Cd: 0.384 0.250 0.822
Cd: 0.616 0.750 0.178
Au: 0.272 0.750 0.454
Au: 0.728 0.250 0.546


A relaxed structure of Pr2CdAu4, computed with PBE.

Output
Raw total energy, eV per atom: -3.933

a b c (Å): 9.608 9.608 9.608
angles (deg): 28.70 28.70 28.70
Element x y z (fractional)
Pr: 0.249 0.249 0.249
Pr: 0.751 0.751 0.751
Cd: 0.000 0.000 0.000
Au: 0.138 0.138 0.138
Au: 0.363 0.363 0.363
Au: 0.637 0.637 0.637
Au: 0.862 0.862 0.862


A relaxed structure of Pr4Cd2Au, computed with PBE.

Output
Raw total energy, eV per atom: -3.719

a b c (Å): 9.283 9.283 9.283
angles (deg): 33.67 33.67 33.67
Element x y z (fractional)
Pr: 0.124 0.124 0.124
Pr: 0.375 0.375 0.375
Pr: 0.625 0.625 0.625
Pr: 0.876 0.876 0.876
Cd: 0.247 0.247 0.247
Cd: 0.753 0.753 0.753
Au: 0.000 0.000 0.000


A relaxed structure of Pr3Cd2Au6, computed with PBE.

Output
Raw total energy, eV per atom: -3.759

a b c (Å): 13.410 13.410 13.410
angles (deg): 160.52 160.52 27.68
Element x y z (fractional)
Pr: 0.000 0.000 0.000
Pr: 0.198 0.198 0.000
Pr: 0.802 0.802 0.000
Cd: 0.449 0.449 0.000
Cd: 0.551 0.551 0.000
Au: 0.112 0.612 0.500
Au: 0.316 0.316 0.000
Au: 0.388 0.888 0.500
Au: 0.612 0.112 0.500
Au: 0.684 0.684 0.000
Au: 0.888 0.388 0.500


A relaxed structure of Pr3CdAu2, computed with PBE.

Output
Raw total energy, eV per atom: -4.238

a b c (Å): 3.793 3.793 11.342
angles (deg): 90.00 90.00 90.00
Element x y z (fractional)
Pr: 0.000 0.000 0.000
Pr: 0.000 0.000 0.323
Pr: 0.000 0.000 0.677
Cd: 0.500 0.500 0.500
Au: 0.500 0.500 0.166
Au: 0.500 0.500 0.834


A relaxed structure of Pr3Cd2Au, computed with PBE.

Output
Excess energy over the best structure of this formula in the dataset, eV per atom: 0.014
Raw total energy, eV per atom: -3.687

a b c (Å): 5.406 5.406 6.672
angles (deg): 90.00 90.00 120.00
Element x y z (fractional)
Pr: 0.000 0.000 0.000
Pr: 0.333 0.667 0.648
Pr: 0.667 0.333 0.352
Cd: 0.333 0.667 0.144
Cd: 0.667 0.333 0.856
Au: 0.000 0.000 0.500


A relaxed structure of PrCd5Au2, computed with PBE.

Output
Raw total energy, eV per atom: -2.318

a b c (Å): 4.021 8.701 10.665
angles (deg): 90.00 90.00 90.00
Element x y z (fractional)
Pr: 0.000 0.000 0.000
Pr: 0.500 0.500 0.500
Cd: 0.000 0.195 0.357
Cd: 0.000 0.195 0.643
Cd: 0.000 0.500 0.000
Cd: 0.000 0.805 0.357
Cd: 0.000 0.805 0.643
Cd: 0.500 0.000 0.500
Cd: 0.500 0.305 0.143
Cd: 0.500 0.305 0.857
Cd: 0.500 0.695 0.143
Cd: 0.500 0.695 0.857
Au: 0.000 0.500 0.273
Au: 0.000 0.500 0.727
Au: 0.500 0.000 0.227
Au: 0.500 0.000 0.773


A relaxed structure of Pr2CdAu5, computed with PBE.

Output
Raw total energy, eV per atom: -3.855

a b c (Å): 6.666 6.666 8.425
angles (deg): 90.00 90.00 90.00
Element x y z (fractional)
Pr: 0.000 0.500 0.000
Pr: 0.000 0.500 0.500
Pr: 0.500 0.000 0.000
Pr: 0.500 0.000 0.500
Cd: 0.000 0.000 0.376
Cd: 0.500 0.500 0.876
Au: 0.000 0.000 0.023
Au: 0.214 0.214 0.744
Au: 0.214 0.786 0.744
Au: 0.286 0.286 0.244
Au: 0.286 0.714 0.244
Au: 0.500 0.500 0.523
Au: 0.714 0.286 0.244
Au: 0.714 0.714 0.244
Au: 0.786 0.214 0.744
Au: 0.786 0.786 0.744


A relaxed structure of PrCdAu3, computed with PBE.

Output
Excess energy over the best structure of this formula in the dataset, eV per atom: 0.064
Raw total energy, eV per atom: -3.543

a b c (Å): 9.696 9.696 5.091
angles (deg): 105.05 105.05 31.15
Element x y z (fractional)
Pr: 0.114 0.114 0.365
Pr: 0.886 0.886 0.635
Cd: 0.373 0.373 0.122
Cd: 0.627 0.627 0.878
Au: 0.206 0.206 0.956
Au: 0.290 0.290 0.538
Au: 0.468 0.468 0.719
Au: 0.532 0.532 0.281
Au: 0.710 0.710 0.462
Au: 0.794 0.794 0.044


A relaxed structure of PrCd2Au, computed with PBE.

Output
Raw total energy, eV per atom: -2.843

a b c (Å): 4.429 4.429 5.073
angles (deg): 90.00 90.00 90.00
Element x y z (fractional)
Pr: 0.000 0.000 0.000
Cd: 0.000 0.500 0.500
Cd: 0.500 0.000 0.500
Au: 0.500 0.500 0.000


A relaxed structure of Pr2Cd3Au4, computed with PBE.

Output
Excess energy over the best structure of this formula in the dataset, eV per atom: 0.000
Raw total energy, eV per atom: -3.366

a b c (Å): 4.887 4.887 10.113
angles (deg): 90.08 90.08 60.04
Element x y z (fractional)
Pr: 0.167 0.167 0.279
Pr: 0.833 0.833 0.721
Cd: 0.167 0.167 0.923
Cd: 0.500 0.500 0.500
Cd: 0.833 0.833 0.077
Au: 0.167 0.167 0.585
Au: 0.499 0.499 0.140
Au: 0.501 0.501 0.860
Au: 0.833 0.833 0.415